First-principles (PBE) data for a relaxed structure of Th2IrPb, as listed in Alexandria via LeMat-Bulk.

Unit cell a=4.0624 b=4.0624 c=25.5242 alpha=90.00 beta=90.00 gamma=120.00
Last column: nearest neighbours and their distance in Å.
Space group R3m (No. 160, hexagonal axes)
Inequivalent atoms, fractional coordinates:
1 Th 0.0000 0.0000 0.0000  3 Ir 2.85
2 Th 0.0000 0.0000 0.2053  3 Ir 2.87
3 Ir 0.0000 0.0000 0.6035  6 Th 2.85-2.87
4 Pb 0.0000 0.0000 0.4363  6 Th 3.51-3.52

Results
* energy of formation from the pure elements: -567 meV/atom
* total moment: 0.00 μB/cell
* energy above the most stable polymorph in this dataset: 0.0387 eV per atom
* N(E_F): 11.56 states/eV/cell